Material: Tm4BeBr5
Method: DFT, PBE-GGA
State: relaxed

a = 3.8336 Å, b = 8.2285 Å, c = 10.4806 Å
α = 89.62°, β = 100.54°, γ = 90.00°
Last column: nearest neighbours and their distance in Å.
Fractional coordinates of all 10 atoms:
Br (0.1490, 0.7514, 0.2980)  3 Tm 2.84-3.08
Br (0.8510, 0.2486, 0.7020)  3 Tm 2.84-3.08
Br (0.1493, 0.2432, 0.2987)  3 Tm 2.84-3.08
Br (0.5000, 0.5000, 0.0000)  4 Tm 3.00
Br (0.8507, 0.7568, 0.7013)  3 Tm 2.84-3.08
Tm (0.0000, 0.7802, 0.0000)  2 Be 2.64
Tm (0.3778, 0.0022, 0.7557)  1 Be 2.52
Tm (0.0000, 0.2198, 0.0000)  2 Be 2.64
Tm (0.6222, 0.9978, 0.2443)  1 Be 2.52
Be (0.5000, 0.0000, 0.0000)  6 Tm 2.52-2.64

Calculated values
Calculated total energy = -4.1868 eV/atom
E_form (uncorrected) = -27.42 kcal/mol of atoms